Record 1
Here is crystalline Nd3InO6 at its relaxed geometry from the Alexandria database. Energies are from PBE.

The space group is R-3 (No. 148, hexagonal axes) and the conventional cell measures 9.9680, 9.9680 and 11.4580 Å, with angles of 90.00, 90.00 and 120.00 degrees. Symmetry generates all atoms from Nd at (0.0401, 0.7737, 0.2059), In at (0.0000, 0.0000, 0.0000), In at (0.0000, 0.0000, 0.5000), O at (0.0278, 0.8428, 0.8791) and O at (0.0289, 0.8181, 0.4046).

The energy above the most stable polymorph in this dataset is 0.000 eV/atom. The calculation puts the formation energy without anion corrections at -2.915 eV/atom. The density of states at the Fermi level is 0.00 states/eV per cell.

=====

Record 2
Here is crystalline Nd3InO6 at its relaxed geometry from the Alexandria database. Energies are from PBE.

The space group is Cmc2_1 (No. 36) and the conventional cell measures 9.340, 11.710 and 5.788 Å, with angles of 90.00, 90.00 and 90.00 degrees. Symmetry generates all atoms from Nd at (0.000, 0.102, 0.000), Nd at (0.195, 0.394, 0.950), In at (0.000, 0.313, 0.430), O at (0.000, 0.282, 0.779), O at (0.000, 0.471, 0.255), O at (0.160, 0.015, 0.725) and O at (0.162, 0.235, 0.234).

The energy above the most stable polymorph in this dataset is 0.022 eV/atom. The calculation puts the formation energy without anion corrections at -2.893 eV/atom. The density of states at the Fermi level is 0.00 states/eV per cell.

=====

Record 3
Here is crystalline Nd7In3O2 at its relaxed geometry from the Alexandria database. Energies are from PBE.

The space group is Cmmm (No. 65) and the conventional cell measures 5.024, 25.177 and 4.880 Å, with angles of 90.00, 90.00 and 90.00 degrees. Symmetry generates all atoms from Nd at (0.000, 0.000, 0.000), Nd at (0.000, 0.096, 0.500), Nd at (0.000, 0.201, 0.000), Nd at (0.000, 0.397, 0.000), In at (0.000, 0.305, 0.500), In at (0.000, 0.500, 0.500) and O at (0.000, 0.100, 0.000).

The calculation puts the formation energy without anion corrections at -1.221 eV/atom. The density of states at the Fermi level is 11.50 states/eV per cell.

=====

Record 4
Here is crystalline Nd2InO at its relaxed geometry from the Alexandria database. Energies are from PBE.

The space group is C2/m (No. 12) and the conventional cell measures 6.660, 6.660 and 9.181 Å, with angles of 90.00, 90.14 and 90.00 degrees. Symmetry generates all atoms from Nd at (0.000, 0.250, 0.000), Nd at (0.249, 0.000, 0.669), In at (0.249, 0.500, 0.700) and O at (0.250, 0.000, 0.926).

The energy above the most stable polymorph in this dataset is 0.000 eV/atom. The calculation puts the formation energy without anion corrections at -1.569 eV/atom. The density of states at the Fermi level is 16.54 states/eV per cell.

=====

Record 5
Here is crystalline Nd2InO at its relaxed geometry from the Alexandria database. Energies are from PBE.

The space group is P4/mmm (No. 123) and the conventional cell measures 3.206, 3.206 and 8.229 Å, with angles of 90.00, 90.00 and 90.00 degrees. Symmetry generates all atoms from Nd at (0.000, 0.000, 0.194), In at (0.500, 0.500, 0.500) and O at (0.500, 0.500, 0.000).

The energy above the most stable polymorph in this dataset is 0.383 eV/atom. The calculation puts the formation energy without anion corrections at -1.185 eV/atom. The density of states at the Fermi level is 2.28 states/eV per cell.

=====

Record 6
Here is crystalline NdInO at its relaxed geometry from the Alexandria database. Energies are from PBE.

The space group is P4/nmm (No. 129, origin choice 2) and the conventional cell measures 3.389, 3.389 and 10.877 Å, with angles of 90.00, 90.00 and 90.00 degrees. Symmetry generates all atoms from Nd at (0.250, 0.250, 0.138), In at (0.250, 0.250, 0.604) and O at (0.250, 0.250, 0.917).

The calculation puts the formation energy without anion corrections at -1.889 eV/atom. The density of states at the Fermi level is 2.44 states/eV per cell.